(1)
DFT (PBE-GGA) results for an optimized crystal structure of LiCd2HCl.

a = 6.0984 Å, b = 6.0984 Å, c = 4.4442 Å
α = 90.00°, β = 90.00°, γ = 90.00°
Closest atoms and distances in Å follow each position.
Space group P4/mmm (No. 123)
Inequivalent atoms, fractional coordinates:
Li 0.0000 0.0000 0.0000 x1  2 Cl 2.22
Cd 0.0000 0.5000 0.0000 x2  2 Li 3.05
H 0.5000 0.5000 0.5000 x1  8 Cd 3.77
Cl 0.0000 0.0000 0.5000 x1  2 Li 2.22


(2)
DFT (PBE-GGA) results for an optimized crystal structure of MgCd2HCl.

a = 5.4211 Å, b = 5.4211 Å, c = 3.6515 Å
α = 90.00°, β = 90.00°, γ = 90.00°
Closest atoms and distances in Å follow each position.
Space group P4/mmm (No. 123)
Inequivalent atoms, fractional coordinates:
Mg 0.0000 0.0000 0.0000 x1  2 H 1.83
Cd 0.0000 0.5000 0.5000 x2  2 H 2.71
H 0.0000 0.0000 0.5000 x1  2 Mg 1.83
Cl 0.5000 0.5000 0.0000 x1  8 Cd 3.27, 2 Cl 3.65


(3)
DFT (PBE-GGA) results for an optimized crystal structure of MnCdH2Cl8.

a = 6.7086 Å, b = 6.8102 Å, c = 7.3190 Å
α = 89.48°, β = 89.88°, γ = 88.54°
Closest atoms and distances in Å follow each position.
Space group P-1 (No. 2)
Inequivalent atoms, fractional coordinates:
Mn 0.0000 0.0000 0.0000 x1  6 Cl 2.28-2.30
Cd 0.0000 0.0000 0.5000 x1  6 Cl 2.64-2.75
H 0.2589 0.2788 0.7167 x2  1 Cl 1.36
Cl 0.1721 0.8219 0.7817 x2  1 Mn 2.30
Cl 0.1948 0.8465 0.2205 x2  1 Mn 2.30
Cl 0.2255 0.2432 0.9784 x2  1 H 1.94
Cl 0.2722 0.2923 0.5320 x2  1 H 1.36


| no. | energy (eV/cell) |
| --- | --- |
| 1 | -8.41 |
| 2 | -8.44 |
| 3 | -40.84 |